DFT (GGA-PBE) results for a relaxed structure of Y2TlReTe.

Properties
The density of states at the Fermi level comes out at 2.61 states/eV per cell. As for the space group: No. 123. The uncorrected formation energy comes out at 0.0613 eV/atom. The total energy is -6.116 eV per atom.

Cell lengths 5.3867, 5.2620, 5.3867 Å; angles 90.00, 90.00, 90.00 degrees
Sites, in units of the cell vectors:
Y  0.0000  0.0000  0.5000
Y  0.5000  0.0000  0.0000
Re  0.0000  0.0000  0.0000
Tl  0.0000  0.5000  0.0000
Te  0.5000  0.5000  0.5000